Version 1
Density functional theory data (GGA-PBE) for a relaxed structure of CaGe2Mo.

Lattice parameters (Å, degrees): 3.4955 3.4955 23.0742 90.00 90.00 120.00
Space group R-3m (No. 166, hexagonal axes)
Asymmetric unit:
Ca  0.0000  0.0000  0.0000 x3
Ge  0.0000  0.0000  0.2381 x6
Mo  0.0000  0.0000  0.5000 x3

* spin magnetization: 0.0 μB/cell


Version 2
Density functional theory data (GGA-PBE) for a relaxed structure of CaGe2Mo.

Lattice parameters (Å, degrees): 5.0956 5.0956 16.5008 90.00 90.00 90.00
Space group I-42d (No. 122)
Asymmetric unit:
Ca  0.0000  0.0000  0.0000 x4
Ge  0.0621  0.2500  0.6250 x8
Mo  0.0000  0.0000  0.5000 x4

* spin magnetization: 1.5 μB/cell


Going by the energies, version 1 is most stable and the next is 0.302 eV/atom up.


Version 1
Density functional theory data (GGA-PBE) for a relaxed structure of Ca5Ge2N6.

Lattice parameters (Å, degrees): 9.6436 11.7100 3.3094 90.00 90.00 90.00
Space group Pbam (No. 55)
Asymmetric unit:
Ca  0.0000  0.0000  0.0000 x2
Ca  0.0454  0.2503  0.0000 x4
Ca  0.1637  0.4999  0.0000 x4
Ge  0.2046  0.7120  0.5000 x4
N  0.0436  0.6223  0.5000 x4
N  0.1449  0.1061  0.5000 x4
N  0.2066  0.8105  0.0000 x4

* spin magnetization: 0.0 μB/cell


Version 2
Density functional theory data (GGA-PBE) for a relaxed structure of Ca5Ge2N6.

Lattice parameters (Å, degrees): 10.2834 6.0304 13.1147 90.00 98.99 90.00
Space group C2/c (No. 15)
Asymmetric unit:
Ca  0.0000  0.1207  0.2500 x4
Ca  0.0778  0.2484  0.0068 x8
Ca  0.1507  0.4099  0.7148 x8
Ge  0.2192  0.3719  0.4193 x8
N  0.0489  0.4560  0.3705 x8
N  0.1538  0.0284  0.6572 x8
N  0.2305  0.0451  0.4375 x8

* spin magnetization: 0.0 μB/cell


Going by the energies, version 2 is most stable and the next is 0.092 eV/atom up.


Version 1
Density functional theory data (GGA-PBE) for a relaxed structure of CaGeN.

Lattice parameters (Å, degrees): 3.0761 7.0309 11.0785 90.00 90.00 90.00
Space group Fmm2 (No. 42)
Asymmetric unit:
Ca  0.0000  0.0000  0.0000 x4
Ge  0.0000  0.0000  0.2648 x4
N  0.0000  0.0000  0.6559 x4

* spin magnetization: 0.0 μB/cell


Version 2
Density functional theory data (GGA-PBE) for a relaxed structure of CaGeN.

Lattice parameters (Å, degrees): 3.6774 3.6774 7.2295 90.00 90.00 90.00
Space group P4/nmm (No. 129, origin choice 2)
Asymmetric unit:
Ca  0.2500  0.2500  0.1549 x2
Ge  0.2500  0.2500  0.5697 x2
N  0.2500  0.2500  0.8256 x2

* spin magnetization: 0.0 μB/cell


Going by the energies, version 2 is most stable and the next is 0.531 eV/atom up.


Version 1
Density functional theory data (GGA-PBE) for a relaxed structure of CaGeSN2.

Lattice parameters (Å, degrees): 3.8838 3.8838 5.0609 90.00 90.00 90.00
Space group P4/mmm (No. 123)
Asymmetric unit:
Ca  0.0000  0.0000  0.0000 x1
Ge  0.5000  0.5000  0.5000 x1
S  0.5000  0.5000  0.0000 x1
N  0.0000  0.5000  0.5000 x2

* spin magnetization: 1.5 μB/cell


Version 2
Density functional theory data (GGA-PBE) for a relaxed structure of CaGeSN2.

Lattice parameters (Å, degrees): 4.4629 4.4629 5.4723 90.00 90.00 90.00
Space group P4/mmm (No. 123)
Asymmetric unit:
Ca  0.0000  0.0000  0.0000 x1
Ge  0.5000  0.5000  0.5000 x1
S  0.0000  0.0000  0.5000 x1
N  0.0000  0.5000  0.0000 x2

* spin magnetization: 4.0 μB/cell


Going by the energies, version 1 is most stable and the next is 1.094 eV/atom up.


Version 1
Density functional theory data (GGA-PBE) for a relaxed structure of CaGeS2N.

Lattice parameters (Å, degrees): 4.9082 4.9082 3.7563 90.00 90.00 90.00
Space group P4/mmm (No. 123)
Asymmetric unit:
Ca  0.0000  0.0000  0.0000 x1
Ge  0.5000  0.5000  0.5000 x1
S  0.0000  0.5000  0.5000 x2
N  0.5000  0.5000  0.0000 x1

* spin magnetization: 1.1 μB/cell


Version 2
Density functional theory data (GGA-PBE) for a relaxed structure of CaGeS2N.

Lattice parameters (Å, degrees): 5.2653 5.2653 4.4508 90.00 90.00 90.00
Space group P4/mmm (No. 123)
Asymmetric unit:
Ca  0.0000  0.0000  0.0000 x1
Ge  0.5000  0.5000  0.5000 x1
S  0.0000  0.5000  0.0000 x2
N  0.0000  0.0000  0.5000 x1

* spin magnetization: 2.8 μB/cell


Going by the energies, version 1 is most stable and the next is 0.962 eV/atom up.


Version 1
Density functional theory data (GGA-PBE) for a relaxed structure of CaGeSe2N.

Lattice parameters (Å, degrees): 5.4967 5.4967 4.4620 90.00 90.00 90.00
Space group P4/mmm (No. 123)
Asymmetric unit:
Ca  0.0000  0.0000  0.0000 x1
Ge  0.5000  0.5000  0.5000 x1
Se  0.0000  0.5000  0.0000 x2
N  0.0000  0.0000  0.5000 x1

* spin magnetization: 2.5 μB/cell


Version 2
Density functional theory data (GGA-PBE) for a relaxed structure of CaGeSe2N.

Lattice parameters (Å, degrees): 5.3037 5.3037 3.6345 90.00 90.00 90.00
Space group P4/mmm (No. 123)
Asymmetric unit:
Ca  0.0000  0.0000  0.0000 x1
Ge  0.5000  0.5000  0.5000 x1
Se  0.0000  0.5000  0.5000 x2
N  0.5000  0.5000  0.0000 x1

* spin magnetization: 0.0 μB/cell


Going by the energies, version 2 is most stable and the next is 0.813 eV/atom up.


Version 1
Density functional theory data (GGA-PBE) for a relaxed structure of CaGeTe2N.

Lattice parameters (Å, degrees): 5.9146 5.9146 4.1349 90.00 90.00 90.00
Space group P4/mmm (No. 123)
Asymmetric unit:
Ca  0.0000  0.0000  0.0000 x1
Ge  0.5000  0.5000  0.5000 x1
Te  0.0000  0.5000  0.0000 x2
N  0.0000  0.0000  0.5000 x1

* spin magnetization: 0.0 μB/cell


Version 2
Density functional theory data (GGA-PBE) for a relaxed structure of CaGeTe2N.

Lattice parameters (Å, degrees): 5.7687 5.7687 3.6433 90.00 90.00 90.00
Space group P4/mmm (No. 123)
Asymmetric unit:
Ca  0.0000  0.0000  0.0000 x1
Ge  0.5000  0.5000  0.5000 x1
Te  0.0000  0.5000  0.5000 x2
N  0.5000  0.5000  0.0000 x1

* spin magnetization: 0.0 μB/cell


Going by the energies, version 2 is most stable and the next is 0.816 eV/atom up.


Version 1
Density functional theory data (GGA-PBE) for a relaxed structure of Na3CaGe.

Lattice parameters (Å, degrees): 5.6209 5.6209 5.6209 90.00 90.00 90.00
Space group Pm-3m (No. 221)
Asymmetric unit:
Na  0.0000  0.0000  0.5000 x3
Ca  0.5000  0.5000  0.5000 x1
Ge  0.0000  0.0000  0.0000 x1

* spin magnetization: 0.0 μB/cell


Version 2
Density functional theory data (GGA-PBE) for a relaxed structure of Na3CaGe.

Lattice parameters (Å, degrees): 5.9815 5.9815 5.9815 90.00 90.00 90.00
Space group Pm-3m (No. 221)
Asymmetric unit:
Na  0.0000  0.0000  0.5000 x3
Ca  0.0000  0.0000  0.0000 x1
Ge  0.5000  0.5000  0.5000 x1

* spin magnetization: 0.0 μB/cell


Going by the energies, version 1 is most stable and the next is 0.742 eV/atom up.


Version 1
Density functional theory data (GGA-PBE) for a relaxed structure of NaCaGe3.

Lattice parameters (Å, degrees): 5.4855 5.4855 5.4855 90.00 90.00 90.00
Space group Pm-3m (No. 221)
Asymmetric unit:
Na  0.0000  0.0000  0.0000 x1
Ca  0.5000  0.5000  0.5000 x1
Ge  0.0000  0.5000  0.5000 x3

* spin magnetization: 0.7 μB/cell


Version 2
Density functional theory data (GGA-PBE) for a relaxed structure of NaCaGe3.

Lattice parameters (Å, degrees): 5.0613 5.0613 5.0613 90.00 90.00 90.00
Space group Pm-3m (No. 221)
Asymmetric unit:
Na  0.0000  0.0000  0.0000 x1
Ca  0.5000  0.5000  0.5000 x1
Ge  0.0000  0.0000  0.5000 x3

* spin magnetization: 0.0 μB/cell


Going by the energies, version 2 is most stable and the next is 0.202 eV/atom up.


Version 1
Density functional theory data (GGA-PBE) for a relaxed structure of NaSr2CaGe.

Lattice parameters (Å, degrees): 6.5763 6.5763 5.5681 90.00 90.00 90.00
Space group P4/mmm (No. 123)
Asymmetric unit:
Na  0.0000  0.0000  0.0000 x1
Sr  0.0000  0.5000  0.5000 x2
Ca  0.0000  0.0000  0.5000 x1
Ge  0.5000  0.5000  0.0000 x1

* spin magnetization: 0.7 μB/cell


Version 2
Density functional theory data (GGA-PBE) for a relaxed structure of NaSr2CaGe.

Lattice parameters (Å, degrees): 6.2051 6.2051 5.8232 90.00 90.00 90.00
Space group P4/mmm (No. 123)
Asymmetric unit:
Na  0.0000  0.0000  0.0000 x1
Sr  0.0000  0.5000  0.5000 x2
Ca  0.5000  0.5000  0.0000 x1
Ge  0.5000  0.5000  0.5000 x1

* spin magnetization: 0.0 μB/cell


Going by the energies, version 2 is most stable and the next is 1.087 eV/atom up.


Version 1
Density functional theory data (GGA-PBE) for a relaxed structure of CaNb3Ge.

Lattice parameters (Å, degrees): 4.7456 4.7456 4.7456 90.00 90.00 90.00
Space group Pm-3m (No. 221)
Asymmetric unit:
Ca  0.0000  0.0000  0.0000 x1
Nb  0.0000  0.0000  0.5000 x3
Ge  0.5000  0.5000  0.5000 x1

* spin magnetization: 0.0 μB/cell


Version 2
Density functional theory data (GGA-PBE) for a relaxed structure of CaNb3Ge.

Lattice parameters (Å, degrees): 4.9116 4.9116 4.9116 90.00 90.00 90.00
Space group Pm-3m (No. 221)
Asymmetric unit:
Ca  0.0000  0.0000  0.0000 x1
Nb  0.0000  0.5000  0.5000 x3
Ge  0.5000  0.5000  0.5000 x1

* spin magnetization: 0.0 μB/cell


Going by the energies, version 2 is most stable and the next is 1.430 eV/atom up.


Version 1
Density functional theory data (GGA-PBE) for a relaxed structure of CaNb2Ge2.

Lattice parameters (Å, degrees): 4.0657 4.0657 12.2203 90.00 90.00 90.00
Space group I4/mmm (No. 139)
Asymmetric unit:
Ca  0.0000  0.0000  0.0000 x2
Nb  0.0000  0.5000  0.2500 x4
Ge  0.0000  0.0000  0.3970 x4

* spin magnetization: 0.0 μB/cell


Version 2
Density functional theory data (GGA-PBE) for a relaxed structure of CaNb2Ge2.

Lattice parameters (Å, degrees): 5.0058 5.0058 8.5764 90.00 90.00 90.00
Space group I4/mmm (No. 139)
Asymmetric unit:
Ca  0.0000  0.0000  0.0000 x2
Nb  0.0000  0.0000  0.3508 x4
Ge  0.0000  0.5000  0.2500 x4

* spin magnetization: 0.0 μB/cell


Version 3
Density functional theory data (GGA-PBE) for a relaxed structure of CaNb2Ge2.

Lattice parameters (Å, degrees): 7.3298 7.3298 3.5065 90.00 90.00 90.00
Space group P4/mbm (No. 127)
Asymmetric unit:
Ca  0.0000  0.0000  0.0000 x2
Nb  0.1593  0.3407  0.5000 x4
Ge  0.1311  0.6311  0.0000 x4

* spin magnetization: 0.0 μB/cell


Version 4
Density functional theory data (GGA-PBE) for a relaxed structure of CaNb2Ge2.

Lattice parameters (Å, degrees): 8.1314 8.1314 2.9218 90.00 90.00 90.00
Space group P4/mbm (No. 127)
Asymmetric unit:
Ca  0.0000  0.0000  0.0000 x2
Nb  0.1164  0.3836  0.0000 x4
Ge  0.1767  0.6767  0.5000 x4

* spin magnetization: 0.0 μB/cell


Going by the energies, version 1 is most stable and the next is 0.181 eV/atom up.